LiPmNi (GGA-PBE, optimized geometry); ΔE to the lowest computed polymorph = 212.1 meV/atom; DOS at the Fermi energy = 0.9 states/eV/f.u.; DFT formation energy = 0.015 eV/atom; total energy = -0.3038 Ry/atom; space group = F-43m, No. 216; total magnetic moment = 0.000 μB/f.u.
1.0
-2.609 -1.602 -3.384
1.926 -1.455 -3.873
0.037 -4.453 -0.997
Pm Ni Li
1 1 1
Direct
0.000 0.000 0.000
0.250 0.250 0.250
0.500 0.500 0.500